1.
DFT (GGA-PBE) results for a geometry-optimized Tb10CeTm6 structure.

Cell lengths 9.6056, 9.6056, 6.7794 Å; angles 90.00, 90.00, 120.00 degrees
Fractional coordinates of all 17 atoms:
1 Tb 0.0000 0.2750 0.3169
2 Tb 0.0000 0.7250 0.6831
3 Tb 0.2750 0.0000 0.3169
4 Tb 0.2750 0.2750 0.6831
5 Tb 0.3333 0.6667 0.0000
6 Tb 0.3333 0.6667 0.5000
7 Tb 0.6667 0.3333 0.0000
8 Tb 0.6667 0.3333 0.5000
9 Tb 0.7250 0.0000 0.6831
10 Tb 0.7250 0.7250 0.3169
11 Ce 0.0000 0.0000 0.0000
12 Tm 0.0000 0.3744 0.8062
13 Tm 0.0000 0.6256 0.1938
14 Tm 0.3744 0.0000 0.8062
15 Tm 0.3744 0.3744 0.1938
16 Tm 0.6256 0.0000 0.1938
17 Tm 0.6256 0.6256 0.8062

The calculation puts the energy relative to the elements at 0.15 eV/atom. The density of states at the Fermi level is 27.1 states/eV/cell. The mass density comes out at 8.4 Mg/m³.

2.
DFT (GGA-PBE) results for a geometry-optimized KFeTe structure.

Cell lengths 6.6889, 6.6889, 6.6889 Å; angles 147.48, 147.48, 46.65 degrees
Fractional coordinates of all 3 atoms:
1 K 0.0000 0.0000 0.0000
2 Fe 0.2683 0.2683 0.0000
3 Te 0.7227 0.7227 0.0000

The density of states at the Fermi level is 2.6 states/eV/cell. The mass density comes out at 4.3 Mg/m³. The polymorph energy (0 for the lowest one) comes out at 0.90 eV/f.u.

3.
DFT (GGA-PBE) results for a geometry-optimized LaTcTe2 structure.

Cell lengths 5.0805, 5.0805, 4.3142 Å; angles 90.00, 90.00, 108.75 degrees
Fractional coordinates of all 4 atoms:
1 La 0.0000 0.0000 0.0000
2 Tc 0.5000 0.5000 0.0000
3 Te 0.3058 0.6942 0.5000
4 Te 0.6942 0.3058 0.5000

The density of states at the Fermi level is 1.8 states/eV/cell. The mass density comes out at 7.7 Mg/m³. The polymorph energy (0 for the lowest one) comes out at 1.39 eV/f.u.

4.
DFT (GGA-PBE) results for a geometry-optimized SmPaZn17 structure.

Cell lengths 6.8036, 6.8036, 6.8036 Å; angles 82.81, 82.81, 82.81 degrees
Fractional coordinates of all 19 atoms:
1 Sm 0.0000 0.0000 0.0000
2 Pa 0.6729 0.6729 0.6729
3 Zn 0.0408 0.3374 0.6319
4 Zn 0.0408 0.6319 0.3374
5 Zn 0.1799 0.6874 0.6874
6 Zn 0.2381 0.2381 0.2381
7 Zn 0.3374 0.0408 0.6319
8 Zn 0.3368 0.3368 0.8372
9 Zn 0.3374 0.6319 0.0408
10 Zn 0.3368 0.8372 0.3368
11 Zn 0.4377 0.4377 0.4377
12 Zn 0.5017 0.9818 0.9818
13 Zn 0.6319 0.0408 0.3374
14 Zn 0.6319 0.3374 0.0408
15 Zn 0.6874 0.1799 0.6874
16 Zn 0.6874 0.6874 0.1799
17 Zn 0.8372 0.3368 0.3368
18 Zn 0.9818 0.5017 0.9818
19 Zn 0.9818 0.9818 0.5017

The calculation puts the energy relative to the elements at -0.18 eV/atom. The density of states at the Fermi level is 9.3 states/eV/cell. The mass density comes out at 8.0 Mg/m³.